Entry from OQMD via LeMat-Bulk: Hf2Al2Ni3Pd after structural relaxation (PBE-GGA).

Summary:
* electronic total energy: -54.75 eV for the cell shown

Geometry as POSCAR:
```
Hf2Al2Ni3Pd
1.0
4.137 0.000 0.000
-2.069 3.583 0.000
0.000 0.000 8.160
Hf Al Ni Pd
2 2 3 1
Cartesian
0.000 0.000 0.000 Hf
0.000 2.389 3.942 Hf
2.069 1.194 1.965 Al
2.069 1.194 6.202 Al
0.000 0.000 2.630 Ni
0.000 2.389 1.294 Ni
0.000 2.389 6.817 Ni
0.000 0.000 5.332 Pd
```

---

Entry from OQMD via LeMat-Bulk: PrHfAl4Ni2 after structural relaxation (PBE-GGA).

Summary:
* electronic total energy: -45.08 eV for the cell shown

Geometry as POSCAR:
```
PrHfAl4Ni2
1.0
6.796 0.000 0.000
0.000 2.056 4.975
0.000 -2.056 4.975
Pr Hf Al Ni
1 1 4 2
Cartesian
0.000 0.000 0.000 Pr
3.398 0.000 1.252 Hf
1.428 0.000 7.076 Al
2.110 0.000 4.083 Al
4.686 0.000 4.083 Al
5.367 0.000 7.076 Al
0.000 0.000 2.792 Ni
3.398 0.000 8.516 Ni
```

---

Entry from OQMD via LeMat-Bulk: HfZr2Al3NiPt2 after structural relaxation (PBE-GGA).

Summary:
* electronic total energy: -64.18 eV for the cell shown

Geometry as POSCAR:
```
HfZr2Al3NiPt2
1.0
3.554 0.000 0.000
0.000 6.131 3.556
0.000 -6.131 3.556
Hf Zr Al Ni Pt
1 2 3 1 2
Cartesian
0.000 0.000 0.000 Hf
0.000 -2.439 4.243 Zr
0.000 2.439 4.243 Zr
1.777 -1.502 1.957 Al
1.777 1.502 1.957 Al
1.777 0.000 4.563 Al
0.000 0.000 2.810 Ni
1.777 -4.116 2.839 Pt
1.777 4.116 2.839 Pt
```

---

Entry from OQMD via LeMat-Bulk: Hf2ZrAl3NiPt2 after structural relaxation (PBE-GGA).

Summary:
* electronic total energy: -65.61 eV for the cell shown

Geometry as POSCAR:
```
Hf2ZrAl3NiPt2
1.0
3.529 0.000 0.000
0.000 6.155 3.537
0.000 -6.155 3.537
Hf Zr Al Ni Pt
2 1 3 1 2
Cartesian
0.000 -3.710 3.537 Hf
0.000 3.710 3.537 Hf
0.000 0.000 4.215 Zr
1.765 -1.507 2.272 Al
1.765 1.507 2.272 Al
1.765 0.000 6.734 Al
0.000 0.000 1.384 Ni
1.765 -2.081 4.951 Pt
1.765 2.081 4.951 Pt
```

---

Entry from OQMD via LeMat-Bulk: HfAlReNi after structural relaxation (PBE-GGA).

Summary:
* electronic total energy: -31.20 eV for the cell shown

Geometry as POSCAR:
```
HfAlReNi
1.0
0.000 3.152 3.152
3.152 0.000 3.152
3.152 3.152 0.000
Hf Al Re Ni
1 1 1 1
Cartesian
0.000 0.000 0.000 Hf
1.576 1.576 1.576 Al
4.728 4.728 4.728 Re
3.152 3.152 3.152 Ni
```

---

Entry from OQMD via LeMat-Bulk: Hf2AlNi2Sb after structural relaxation (PBE-GGA).

Summary:
* electronic total energy: -85.62 eV for the cell shown

Geometry as POSCAR:
```
Hf2AlNi2Sb
1.0
-3.004 3.004 6.015
3.004 -3.004 6.015
3.004 3.004 -6.015
Hf Al Ni Sb
4 2 4 2
Cartesian
0.000 0.000 2.927 Hf
0.000 3.004 0.080 Hf
0.000 0.000 9.102 Hf
0.000 3.004 5.934 Hf
0.000 0.000 0.000 Al
0.000 3.004 3.007 Al
4.506 1.477 -1.504 Ni
1.477 1.502 1.504 Ni
-1.502 1.527 4.511 Ni
1.527 1.502 7.518 Ni
3.004 0.000 3.007 Sb
0.000 0.000 6.015 Sb
```

---

Entry from OQMD via LeMat-Bulk: HfScAlNi after structural relaxation (PBE-GGA).

Summary:
* electronic total energy: -25.85 eV for the cell shown

Geometry as POSCAR:
```
HfScAlNi
1.0
0.000 3.238 3.238
3.238 0.000 3.238
3.238 3.238 0.000
Hf Sc Al Ni
1 1 1 1
Cartesian
0.000 0.000 0.000 Hf
1.619 1.619 1.619 Sc
3.238 3.238 3.238 Al
4.857 4.857 4.857 Ni
```

---

Entry from OQMD via LeMat-Bulk: HfScAl4Ni2 after structural relaxation (PBE-GGA).

Summary:
* electronic total energy: -47.46 eV for the cell shown

Geometry as POSCAR:
```
HfScAl4Ni2
1.0
6.563 0.000 0.000
0.000 2.013 4.745
0.000 -2.013 4.745
Hf Sc Al Ni
1 1 4 2
Cartesian
0.000 0.000 0.000 Hf
3.282 0.000 8.204 Sc
1.307 0.000 2.747 Al
1.963 0.000 5.457 Al
4.600 0.000 5.457 Al
5.256 0.000 2.747 Al
0.000 0.000 6.858 Ni
3.282 0.000 1.343 Ni
```